Material: NdPuFe2
Method: DFT, PBE
State: relaxed

Calculated values
The calculated formation energy is 0.119 eV/atom.

a = 3.356 Å, b = 3.356 Å, c = 7.013 Å
α = 90.00°, β = 90.00°, γ = 90.00°
Sites, in units of the cell vectors:
Nd 0.000 0.000 0.000
Pu 0.000 0.000 0.500
Fe 0.500 0.500 0.304
Fe 0.500 0.500 0.696